Below is SrMn2P after structural relaxation, with properties calculated at the GGA-PBEsol level.

Computed properties:
Formation enthalpy at 0 K = 0.271 eV/atom
Fermi-level density of states = 0.896 states/eV per atom

Geometry as extended XYZ:
```
8
Lattice="3.190 0.000 0.000 0.000 5.169 0.000 0.000 0.000 9.200" Properties=species:S:1:pos:R:3 pbc="T T T"
Sr 0.000 0.000 0.000
Sr 1.595 2.584 4.600
Mn 0.000 2.584 1.706
Mn 0.000 2.584 7.494
Mn 1.595 0.000 2.894
Mn 1.595 0.000 6.306
P 0.000 0.000 4.600
P 1.595 2.584 0.000
```